# 1
VASP calculation (PBE) on a relaxed structure of Sm2Er12Pu.

As for the energy of formation from the pure elements: 543.9 meV/atom.

Unit cell a=6.360 b=6.360 c=24.464 alpha=90.00 beta=90.00 gamma=90.00
Space group P4/nbm (No. 125, origin choice 2)
Asymmetric unit:
Sm  0.250  0.750  0.229 [4 per cell]
Er  0.064  0.564  0.391 [8 per cell]
Er  0.081  0.581  0.939 [8 per cell]
Er  0.250  0.250  0.162 [4 per cell]
Er  0.250  0.250  0.289 [4 per cell]
Pu  0.250  0.750  0.500 [2 per cell]


# 2
VASP calculation (PBE) on a relaxed structure of ZnTePb3.

The calculation puts the relative energy among the computed polymorphs at 0 meV per atom. The uncorrected formation energy is 1.06 eV/f.u.

Unit cell a=5.441 b=5.441 c=5.441 alpha=90.00 beta=90.00 gamma=90.00
Space group Pm-3m (No. 221)
Asymmetric unit:
Zn  0.000  0.000  0.000 [1 per cell]
Te  0.500  0.500  0.500 [1 per cell]
Pb  0.000  0.000  0.500 [3 per cell]


# 3
VASP calculation (PBE) on a relaxed structure of Rb2CeI2O2.

The uncorrected formation energy is -14.19 eV/f.u.

Unit cell a=4.573 b=4.573 c=19.873 alpha=90.00 beta=90.00 gamma=90.00
Space group I4/mmm (No. 139)
Asymmetric unit:
Rb  0.000  0.000  0.106 [4 per cell]
Ce  0.000  0.000  0.500 [2 per cell]
I  0.000  0.000  0.334 [4 per cell]
O  0.000  0.500  0.000 [4 per cell]


# 4
VASP calculation (PBE) on a relaxed structure of Cs2AuBr3.

The calculation puts the relative energy among the computed polymorphs at 0 meV per atom. The uncorrected formation energy is -7.17 eV/f.u.

Unit cell a=12.252 b=8.990 c=10.097 alpha=90.00 beta=115.48 gamma=90.00
Space group C2/c (No. 15)
Asymmetric unit:
Cs  0.153  0.215  0.153 [8 per cell]
Au  0.000  0.388  0.750 [4 per cell]
Br  0.000  0.104  0.750 [4 per cell]
Br  0.157  0.441  0.453 [8 per cell]


| no. | final energy (eV for the cell shown) |
| --- | --- |
| 1 | -140.73 |
| 2 | -14.48 |
| 3 | -70.15 |
| 4 | -68.68 |